Entry 1:
Here is a relaxed structure of Dy3AgOs from Alexandria. Energies are from PBE.

Unit cell a=6.4328 b=9.7894 c=15.6276 alpha=90.00 beta=90.00 gamma=90.00
Last column: nearest neighbours and their distance in Å.
Space group Fmmm (No. 69)
Symmetry-distinct sites (fractional):
Dy 0.0000 0.0000 0.1954 x8  4 Os 3.05, 2 Ag 3.34, 2 Dy 3.37
Dy 0.0000 0.1850 0.3913 x16  2 Os 2.81, 2 Ag 3.11
Ag 0.2090 0.0000 0.0000 x8  1 Ag 2.69
Os 0.2500 0.2500 0.2500 x8  8 Dy 2.81-3.05

Values from the calculation:
Formation energy from the elements = -0.278 eV per atom
Size of the total moment = 0.000 μB/f.u.

=====

Entry 2:
Here is a relaxed structure of CuRh2 from Alexandria. Energies are from PBE.

Unit cell a=2.6459 b=2.6459 c=24.1711 alpha=90.00 beta=90.00 gamma=90.00
Last column: nearest neighbours and their distance in Å.
Space group I4_1/amd (No. 141, origin choice 2)
Symmetry-distinct sites (fractional):
Cu 0.0000 0.2500 0.3750 x4  4 Cu 2.65, 8 Rh 2.68
Rh 0.0000 0.2500 0.7959 x8  6 Rh 2.58-2.65, 4 Cu 2.68

Values from the calculation:
Formation energy from the elements = 0.238 eV per atom
Distance to the lowest polymorph of the same formula = 0.195 eV/atom
Size of the total moment = 0.001 μB/f.u.